*a*
Density functional theory data (PBE-GGA) for a relaxed structure of Pm2Dy7Y2.

Lattice parameters (Å, degrees): 8.0570 8.0570 6.0625 106.31 106.31 90.47
With the nearest neighbours (Å) after each atom.
Fractional coordinates of all 11 atoms:
Pm1 0.2334 0.2334 0.0900  8 Dy 3.34-3.70, 2 Y 3.51
Pm2 0.7666 0.7666 0.9100  8 Dy 3.34-3.70, 2 Y 3.51
Dy1 0.0000 0.0000 0.5000  4 Dy 3.25, 2 Pm 3.50
Dy2 0.0598 0.5907 0.3262  2 Dy 3.22-3.25, 2 Y 3.32-3.47, 2 Pm 3.34-3.56
Dy3 0.4093 0.9402 0.6738  2 Dy 3.22-3.25, 2 Y 3.32-3.47, 2 Pm 3.34-3.56
Dy4 0.4127 0.4127 0.6972  6 Dy 3.41-3.77, 3 Pm 3.42-3.70, 2 Y 3.66
Dy5 0.5873 0.5873 0.3028  6 Dy 3.41-3.77, 3 Pm 3.42-3.70, 2 Y 3.66
Dy6 0.5907 0.0598 0.3262  2 Dy 3.22-3.25, 2 Y 3.32-3.47, 2 Pm 3.34-3.56
Dy7 0.9402 0.4093 0.6738  2 Dy 3.22-3.25, 2 Y 3.32-3.47, 2 Pm 3.34-3.56
Y1 0.2167 0.7833 0.0000  6 Dy 3.32-3.66, 2 Pm 3.51
Y2 0.7833 0.2167 0.0000  6 Dy 3.32-3.66, 2 Pm 3.51

Properties
Total magnetization in μB per cell: 0.0
Density in g/cm3: 7.39

*b*
Density functional theory data (PBE-GGA) for a relaxed structure of Pm2Dy7Y2.

Lattice parameters (Å, degrees): 6.5134 6.5134 8.7292 98.23 98.23 93.35
With the nearest neighbours (Å) after each atom.
Fractional coordinates of all 11 atoms:
Pm1 0.1775 0.8225 0.0000  1 Pm 3.36, 6 Dy 3.38-3.66, 4 Y 3.50
Pm2 0.8225 0.1775 0.0000  1 Pm 3.36, 6 Dy 3.38-3.66, 4 Y 3.50
Dy1 0.0562 0.4184 0.7054  2 Pm 3.38-3.66, 5 Dy 3.42-3.66, 2 Y 3.66-3.76
Dy2 0.1056 0.1056 0.3557  8 Dy 3.42-3.49, 1 Y 3.47, 2 Pm 3.48
Dy3 0.4184 0.0562 0.7054  2 Pm 3.38-3.66, 5 Dy 3.42-3.66, 2 Y 3.66-3.76
Dy4 0.5000 0.5000 0.5000  6 Dy 3.49-3.66, 2 Y 3.51
Dy5 0.5816 0.9438 0.2946  2 Pm 3.38-3.66, 5 Dy 3.42-3.66, 2 Y 3.66-3.76
Dy6 0.8944 0.8944 0.6443  8 Dy 3.42-3.49, 1 Y 3.47, 2 Pm 3.48
Dy7 0.9438 0.5816 0.2946  2 Pm 3.38-3.66, 5 Dy 3.42-3.66, 2 Y 3.66-3.76
Y1 0.3509 0.3509 0.0951  1 Y 3.42, 6 Dy 3.47-3.76, 4 Pm 3.50
Y2 0.6491 0.6491 0.9049  1 Y 3.42, 6 Dy 3.47-3.76, 4 Pm 3.50

Properties
Total magnetization in μB per cell: 0.0
Density in g/cm3: 7.37

Result of the stability comparison: *a* is the least stable of them.

*a*
Density functional theory data (PBE-GGA) for a relaxed structure of PmDy3Y3.

Lattice parameters (Å, degrees): 6.3345 6.3345 6.3345 102.63 102.63 102.63
With the nearest neighbours (Å) after each atom.
Fractional coordinates of all 7 atoms:
Pm1 0.0000 0.0000 0.0000  3 Dy 3.14, 6 Y 3.25-3.45
Dy1 0.0587 0.4104 0.4104  1 Pm 3.14, 3 Y 3.32-3.52, 2 Dy 3.48
Dy2 0.4104 0.0587 0.4104  1 Pm 3.14, 3 Y 3.32-3.52, 2 Dy 3.48
Dy3 0.4104 0.4104 0.0587  1 Pm 3.14, 3 Y 3.32-3.52, 2 Dy 3.48
Y1 0.4523 0.8524 0.8524  2 Pm 3.25-3.45, 5 Dy 3.32-3.58
Y2 0.8524 0.4523 0.8524  2 Pm 3.25-3.45, 5 Dy 3.32-3.58
Y3 0.8524 0.8524 0.4523  2 Pm 3.25-3.45, 5 Dy 3.32-3.58

Properties
Total magnetization in μB per cell: 0.0
Density in g/cm3: 6.43

*b*
Density functional theory data (PBE-GGA) for a relaxed structure of PmDy3Y3.

Lattice parameters (Å, degrees): 14.7158 14.7158 14.7158 24.30 24.30 24.30
With the nearest neighbours (Å) after each atom.
Fractional coordinates of all 14 atoms:
Pm1 0.1667 0.1667 0.1667  6 Y 3.55, 3 Pm 3.58
Pm2 0.8333 0.8333 0.8333  6 Y 3.55, 3 Pm 3.58
Dy1 0.0350 0.6984 0.3666  3 Y 3.49-3.50, 9 Dy 3.52-3.59
Dy2 0.3016 0.6334 0.9650  3 Y 3.49-3.50, 9 Dy 3.52-3.59
Dy3 0.3666 0.0350 0.6984  3 Y 3.49-3.50, 9 Dy 3.52-3.59
Dy4 0.6334 0.9650 0.3016  3 Y 3.49-3.50, 9 Dy 3.52-3.59
Dy5 0.6984 0.3666 0.0350  3 Y 3.49-3.50, 9 Dy 3.52-3.59
Dy6 0.9650 0.3016 0.6334  3 Y 3.49-3.50, 9 Dy 3.52-3.59
Y1 0.0989 0.4327 0.7662  3 Dy 3.49-3.50, 2 Pm 3.55, 6 Y 3.57-3.58
Y2 0.2338 0.9011 0.5673  3 Dy 3.49-3.50, 2 Pm 3.55, 6 Y 3.57-3.58
Y3 0.4327 0.7662 0.0989  3 Dy 3.49-3.50, 2 Pm 3.55, 6 Y 3.57-3.58
Y4 0.5673 0.2338 0.9011  3 Dy 3.49-3.50, 2 Pm 3.55, 6 Y 3.57-3.58
Y5 0.7662 0.0989 0.4327  3 Dy 3.49-3.50, 2 Pm 3.55, 6 Y 3.57-3.58
Y6 0.9011 0.5673 0.2338  3 Dy 3.49-3.50, 2 Pm 3.55, 6 Y 3.57-3.58

Properties
Total magnetization in μB per cell: 0.0
Density in g/cm3: 6.29

Result of the stability comparison: *a* is the least stable of them.

*a*
Density functional theory data (PBE-GGA) for a relaxed structure of Pm6Dy2Y.

Lattice parameters (Å, degrees): 10.0154 10.0154 3.6601 90.00 90.00 124.04
With the nearest neighbours (Å) after each atom.
Fractional coordinates of all 9 atoms:
Pm1 0.0121 0.3413 0.0000  6 Pm 3.32-3.66, 4 Dy 3.56-3.71
Pm2 0.1824 0.1824 0.5000  7 Pm 3.43-3.66, 2 Y 3.50
Pm3 0.3413 0.0121 0.0000  6 Pm 3.32-3.66, 4 Dy 3.56-3.71
Pm4 0.6587 0.9879 0.0000  6 Pm 3.32-3.66, 4 Dy 3.56-3.71
Pm5 0.8176 0.8176 0.5000  7 Pm 3.43-3.66, 2 Y 3.50
Pm6 0.9879 0.6587 0.0000  6 Pm 3.32-3.66, 4 Dy 3.56-3.71
Dy1 0.3211 0.6789 0.5000  8 Pm 3.56-3.71, 2 Y 3.66, 2 Dy 3.66
Dy2 0.6789 0.3211 0.5000  8 Pm 3.56-3.71, 2 Y 3.66, 2 Dy 3.66
Y1 0.5000 0.5000 0.0000  4 Pm 3.50, 4 Dy 3.66, 2 Y 3.66

Properties
Total magnetization in μB per cell: 0.0
Density in g/cm3: 7.01

*b*
Density functional theory data (PBE-GGA) for a relaxed structure of Pm6Dy2Y.

Lattice parameters (Å, degrees): 10.0297 10.0297 6.2962 99.95 99.95 95.11
With the nearest neighbours (Å) after each atom.
Fractional coordinates of all 18 atoms:
Pm1 0.0624 0.8247 0.9850  3 Pm 3.30-3.66, 2 Dy 3.34-3.42, 1 Y 3.50
Pm2 0.0769 0.5113 0.2702  2 Dy 3.27-3.49, 4 Pm 3.34-3.54, 1 Y 3.59
Pm3 0.1753 0.9376 0.5150  3 Pm 3.30-3.66, 2 Dy 3.34-3.42, 1 Y 3.50
Pm4 0.3491 0.4378 0.0534  2 Dy 3.20-3.38, 5 Pm 3.29-3.41, 1 Y 3.34
Pm5 0.4378 0.3491 0.5534  2 Dy 3.20-3.38, 5 Pm 3.29-3.41, 1 Y 3.34
Pm6 0.4887 0.9231 0.2298  2 Dy 3.27-3.49, 4 Pm 3.34-3.54, 1 Y 3.59
Pm7 0.5113 0.0769 0.7702  2 Dy 3.27-3.49, 4 Pm 3.34-3.54, 1 Y 3.59
Pm8 0.5622 0.6509 0.4466  2 Dy 3.20-3.38, 5 Pm 3.29-3.41, 1 Y 3.34
Pm9 0.6509 0.5622 0.9466  2 Dy 3.20-3.38, 5 Pm 3.29-3.41, 1 Y 3.34
Pm10 0.8247 0.0624 0.4850  3 Pm 3.30-3.66, 2 Dy 3.34-3.42, 1 Y 3.50
Pm11 0.9231 0.4887 0.7298  2 Dy 3.27-3.49, 4 Pm 3.34-3.54, 1 Y 3.59
Pm12 0.9376 0.1753 0.0150  3 Pm 3.30-3.66, 2 Dy 3.34-3.42, 1 Y 3.50
Dy1 0.1296 0.2671 0.5986  6 Pm 3.20-3.49
Dy2 0.2671 0.1296 0.0986  6 Pm 3.20-3.49
Dy3 0.7329 0.8704 0.9014  6 Pm 3.20-3.49
Dy4 0.8704 0.7329 0.4014  6 Pm 3.20-3.49
Y1 0.3202 0.6798 0.7500  8 Pm 3.34-3.70
Y2 0.6798 0.3202 0.2500  8 Pm 3.34-3.70

Properties
Total magnetization in μB per cell: 0.0
Density in g/cm3: 6.99

Result of the stability comparison: *b* is the least stable of them.

*a*
Density functional theory data (PBE-GGA) for a relaxed structure of Pm3Dy4Y.

Lattice parameters (Å, degrees): 11.4550 7.3220 6.3167 90.00 90.00 90.00
With the nearest neighbours (Å) after each atom.
Fractional coordinates of all 16 atoms:
Pm1 0.0000 0.1275 0.0000  4 Pm 3.56-3.57, 6 Dy 3.57-3.70, 2 Y 3.67-3.68
Pm2 0.2503 0.1268 0.3347  6 Dy 3.56-3.69, 2 Y 3.56-3.58, 4 Pm 3.56-3.66
Pm3 0.2497 0.8732 0.8347  6 Dy 3.56-3.69, 2 Y 3.56-3.58, 4 Pm 3.56-3.66
Pm4 0.5000 0.8725 0.5000  4 Pm 3.56-3.57, 6 Dy 3.57-3.70, 2 Y 3.67-3.68
Pm5 0.7497 0.1268 0.3347  6 Dy 3.56-3.69, 2 Y 3.56-3.58, 4 Pm 3.56-3.66
Pm6 0.7503 0.8732 0.8347  6 Dy 3.56-3.69, 2 Y 3.56-3.58, 4 Pm 3.56-3.66
Dy1 0.0000 0.3767 0.5003  6 Dy 3.54-3.63, 4 Pm 3.56-3.65, 2 Y 3.63-3.70
Dy2 0.0000 0.6216 0.0001  6 Dy 3.54-3.63, 4 Pm 3.56-3.70, 2 Y 3.64-3.66
Dy3 0.2490 0.6224 0.3322  6 Dy 3.54-3.63, 1 Y 3.55, 5 Pm 3.57-3.69
Dy4 0.2510 0.3776 0.8322  6 Dy 3.54-3.63, 1 Y 3.55, 5 Pm 3.57-3.69
Dy5 0.5000 0.3784 0.5001  6 Dy 3.54-3.63, 4 Pm 3.56-3.70, 2 Y 3.64-3.66
Dy6 0.5000 0.6233 0.0003  6 Dy 3.54-3.63, 4 Pm 3.56-3.65, 2 Y 3.63-3.70
Dy7 0.7490 0.3776 0.8322  6 Dy 3.54-3.63, 1 Y 3.55, 5 Pm 3.57-3.69
Dy8 0.7510 0.6224 0.3322  6 Dy 3.54-3.63, 1 Y 3.55, 5 Pm 3.57-3.69
Y1 0.0000 0.8718 0.4989  6 Dy 3.55-3.70, 6 Pm 3.56-3.68
Y2 0.5000 0.1282 0.9989  6 Dy 3.55-3.70, 6 Pm 3.56-3.68

Properties
Total magnetization in μB per cell: 0.0
Density in g/cm3: 7.36

*b*
Density functional theory data (PBE-GGA) for a relaxed structure of Pm3Dy4Y.

Lattice parameters (Å, degrees): 23.5882 3.4941 6.7506 90.00 106.56 90.00
With the nearest neighbours (Å) after each atom.
Fractional coordinates of all 16 atoms:
Pm1 0.0000 0.0000 0.0000  2 Dy 3.32, 4 Pm 3.34-3.49
Pm2 0.1265 0.0000 0.8715  5 Dy 3.28-3.54, 3 Pm 3.34-3.49
Pm3 0.3735 0.5000 0.1285  5 Dy 3.28-3.54, 3 Pm 3.34-3.49
Pm4 0.5000 0.5000 0.0000  2 Dy 3.32, 4 Pm 3.34-3.49
Pm5 0.6265 0.5000 0.8715  5 Dy 3.28-3.54, 3 Pm 3.34-3.49
Pm6 0.8735 0.0000 0.1285  5 Dy 3.28-3.54, 3 Pm 3.34-3.49
Dy1 0.1249 0.0000 0.3839  3 Pm 3.28-3.47, 5 Dy 3.49-3.52
Dy2 0.2403 0.5000 0.7333  7 Dy 3.49-3.74, 3 Pm 3.50-3.54
Dy3 0.2597 0.0000 0.2667  7 Dy 3.49-3.74, 3 Pm 3.50-3.54
Dy4 0.3751 0.5000 0.6161  3 Pm 3.28-3.47, 5 Dy 3.49-3.52
Dy5 0.6249 0.5000 0.3839  3 Pm 3.28-3.47, 5 Dy 3.49-3.52
Dy6 0.7403 0.0000 0.7333  7 Dy 3.49-3.74, 3 Pm 3.50-3.54
Dy7 0.7597 0.5000 0.2667  7 Dy 3.49-3.74, 3 Pm 3.50-3.54
Dy8 0.8751 0.0000 0.6161  3 Pm 3.28-3.47, 5 Dy 3.49-3.52
Y1 0.0000 0.5000 0.5000  2 Y 3.49, 4 Dy 3.70, 8 Pm 3.74-3.80
Y2 0.5000 0.0000 0.5000  2 Y 3.49, 4 Dy 3.70, 8 Pm 3.74-3.80

Properties
Total magnetization in μB per cell: 0.0
Density in g/cm3: 7.31

Result of the stability comparison: *b* is the least stable of them.